Here is an optimized crystal structure of CsAgPS2 from Alexandria. Energies are from GGA-PBE.

Cell: 5.629 5.629 5.819 Å, 90.00 90.00 90.00°
Atoms (fractional coordinates):
Cs  0.000  0.000  0.000
Ag  0.500  0.500  0.500
P  0.000  0.000  0.500
S  0.000  0.500  0.000
S  0.500  0.000  0.000

Magnetization = 2.505 μB/cell
Formation energy without anion corrections = 1.57 eV per atom
Energy above the most stable polymorph in this dataset = 1227.7 meV per atom
DOS at the Fermi energy = 0.643 states/eV per atom